RbMg (PBE, optimized geometry); SG = I4/m, No. 87; theoretical density = 1.75 Mg/m³; formation enthalpy at 0 K = 0.2214 eV/atom
1.0
-13.336 0.719 4.221
2.845 -8.829 10.495
0.970 3.289 2.504
Mg Rb
8 8
direct
0.064 0.599 0.000 Mg
0.599 0.936 0.000 Mg
0.936 0.401 0.000 Mg
0.564 0.099 0.500 Mg
0.401 0.064 0.000 Mg
0.099 0.436 0.500 Mg
0.436 0.901 0.500 Mg
0.901 0.564 0.500 Mg
0.188 0.879 0.000 Rb
0.312 0.621 0.500 Rb
0.621 0.688 0.500 Rb
0.812 0.121 0.000 Rb
0.688 0.379 0.500 Rb
0.121 0.188 0.000 Rb
0.379 0.312 0.500 Rb
0.879 0.812 0.000 Rb

***

Cs2AuI6O (PBE, optimized geometry); SG = I4/mmm, No. 139; theoretical density = 5.46 Mg/m³; ΔE_f (raw) = -0.53 eV per atom
1.0
-4.497 -5.635 -2.955
-0.223 -3.476 6.970
-7.430 -1.281 3.478
I O Cs Au
6 1 2 1
direct
0.726 0.274 0.000 I
0.274 0.726 0.000 I
0.216 0.216 0.568 I
0.784 0.784 0.432 I
0.726 0.726 0.000 I
0.274 0.274 0.000 I
0.500 0.500 0.000 O
0.250 0.750 0.500 Cs
0.750 0.250 0.500 Cs
0.000 0.000 0.000 Au

***

Ca2MnMo (PBE, optimized geometry); relative energy among the computed polymorphs = 0.1284 eV per atom; SG = Imm2, No. 44; theoretical density = 4.18 Mg/m³; formation enthalpy at 0 K = 0.4954 eV/atom
1.0
-2.833 2.367 -4.643
-5.592 -1.830 -0.751
3.859 2.771 3.552
Ca Mo Mn
2 1 1
direct
0.016 0.016 0.000 Ca
0.719 0.219 0.500 Ca
0.311 0.811 0.500 Mo
0.455 0.455 0.000 Mn

***

TbPaTlSn (PBE, optimized geometry); SG = F-43m, No. 216; theoretical density = 10.89 Mg/m³; formation enthalpy at 0 K = -0.1206 eV/atom
1.0
5.358 0.000 0.000
2.679 4.640 0.000
2.679 1.547 4.375
Tl Sn Tb Pa
1 1 1 1
direct
0.250 0.250 0.250 Tl
0.750 0.750 0.750 Sn
0.000 0.000 0.000 Tb
0.500 0.500 0.500 Pa

***

TiNb4 (PBE, optimized geometry); relative energy among the computed polymorphs = 0.0068 eV per atom; SG = P-1, No. 2; theoretical density = 7.75 Mg/m³; formation enthalpy at 0 K = -0.0069 eV/atom
1.0
-1.675 -1.831 -1.433
-1.231 -2.850 1.188
-12.134 3.489 0.318
Nb Ti
4 1
direct
0.606 0.601 0.197 Nb
0.795 0.800 0.602 Nb
0.205 0.200 0.398 Nb
0.394 0.399 0.803 Nb
0.000 0.000 0.000 Ti

***

CrSiIr3 (PBE, optimized geometry); relative energy among the computed polymorphs = 0.0000 eV per atom; SG = Pm-3m, No. 221; theoretical density = 12.94 Mg/m³; ΔE_f (raw) = 1.02 eV per atom
1.0
4.385 0.000 0.000
0.000 4.385 0.000
0.000 0.000 4.385
Si Cr Ir
1 1 3
direct
0.000 0.000 0.000 Si
0.500 0.500 0.500 Cr
0.000 0.000 0.500 Ir
0.000 0.500 0.000 Ir
0.500 0.000 0.000 Ir

***

V5Cr2C5 (PBE, optimized geometry); SG = I4mm, No. 107; theoretical density = 5.88 Mg/m³; formation enthalpy at 0 K = -0.2190 eV/atom
1.0
-2.555 -4.197 -0.238
2.709 -4.602 1.249
-2.566 -1.581 4.582
Cr V C
2 5 5
direct
0.238 0.500 0.500 Cr
0.738 0.500 0.500 Cr
0.542 0.000 0.607 V
0.542 0.607 0.000 V
0.148 0.393 0.000 V
0.858 0.000 0.000 V
0.148 0.000 0.393 V
0.462 0.000 0.000 C
0.004 0.281 0.719 C
0.723 0.281 0.281 C
0.004 0.719 0.281 C
0.286 0.719 0.719 C

***

Ce2HoCr2C4 (PBE, optimized geometry); SG = C2/m, No. 12; theoretical density = 7.80 Mg/m³; formation enthalpy at 0 K = -0.1481 eV/atom
1.0
3.390 0.000 0.000
-1.695 6.576 0.201
0.000 -2.122 5.636
Ce C Cr Ho
2 4 2 1
direct
0.132 0.264 0.536 Ce
0.868 0.736 0.464 Ce
0.219 0.438 0.192 C
0.449 0.899 0.239 C
0.781 0.562 0.808 C
0.551 0.101 0.761 C
0.318 0.636 0.999 Cr
0.682 0.364 0.001 Cr
0.000 0.000 0.000 Ho

***

DyTmAlNi (PBE, optimized geometry); SG = F-43m, No. 216; theoretical density = 8.16 Mg/m³; formation enthalpy at 0 K = -0.3352 eV/atom
1.0
4.934 0.000 0.000
2.467 4.273 0.000
2.467 1.424 4.028
Tm Ni Dy Al
1 1 1 1
direct
0.250 0.250 0.250 Tm
0.000 0.000 0.000 Ni
0.750 0.750 0.750 Dy
0.500 0.500 0.500 Al

***

Y6PSe2S (PBE, optimized geometry); SG = P4mm, No. 99; theoretical density = 3.86 Mg/m³; ΔE_f (raw) = -0.94 eV per atom
1.0
-0.743 4.462 2.780
-7.238 0.602 -2.901
-2.753 -4.196 5.998
Y P Se S
6 1 2 1
direct
0.227 0.500 0.500 Y
0.734 0.249 0.249 Y
0.734 0.249 0.751 Y
0.734 0.751 0.249 Y
0.216 0.000 0.000 Y
0.734 0.751 0.751 Y
0.714 0.000 0.000 P
0.814 0.000 0.500 Se
0.814 0.500 0.000 Se
0.726 0.500 0.500 S

***

Ta2BeRe (PBE, optimized geometry); relative energy among the computed polymorphs = 0.2064 eV per atom; SG = P2/m, No. 10; theoretical density = 14.85 Mg/m³; formation enthalpy at 0 K = 0.0748 eV/atom
1.0
4.336 0.000 0.000
0.000 2.741 -0.002
0.000 1.052 5.242
Be Ta Re
1 2 1
direct
0.500 0.250 0.250 Be
0.000 0.007 0.000 Ta
0.000 0.493 0.500 Ta
0.500 0.750 0.750 Re

***

Ba2NpMoN5 (PBE, optimized geometry); SG = Cmc2_1, No. 36; theoretical density = 6.92 Mg/m³; ΔE_f (raw) = -0.77 eV per atom
1.0
-0.162 1.961 -3.052
1.395 -7.250 -2.573
-11.596 -1.995 -0.666
Ba N Np Mo
4 10 2 2
direct
0.894 0.788 0.168 Ba
0.106 0.212 0.668 Ba
0.143 0.286 0.322 Ba
0.857 0.714 0.822 Ba
0.675 0.350 0.908 N
0.667 0.335 0.504 N
0.712 0.424 0.137 N
0.499 0.997 0.804 N
0.288 0.576 0.637 N
0.325 0.650 0.408 N
0.501 0.003 0.304 N
0.047 0.094 0.012 N
0.953 0.906 0.512 N
0.333 0.665 0.004 N
0.796 0.592 0.530 Np
0.204 0.408 0.030 Np
0.550 0.099 0.940 Mo
0.450 0.901 0.440 Mo

***

VZnMoRu (PBE, optimized geometry); SG = F-43m, No. 216; theoretical density = 9.17 Mg/m³; formation enthalpy at 0 K = 0.0402 eV/atom
1.0
-1.591 -2.557 -3.088
2.489 -3.044 -1.774
-0.763 -4.164 0.829
Mo Ru V Zn
1 1 1 1
direct
0.250 0.250 0.250 Mo
0.750 0.750 0.750 Ru
0.500 0.500 0.500 V
0.000 0.000 0.000 Zn

***

BaMg2In2 (PBE, optimized geometry); SG = P4/mmm, No. 123; theoretical density = 4.50 Mg/m³; formation enthalpy at 0 K = -0.2698 eV/atom
1.0
4.869 0.000 0.000
0.000 4.869 0.000
0.000 0.000 6.460
Mg In Ba
2 2 1
direct
0.500 0.000 0.500 Mg
0.000 0.500 0.500 Mg
0.500 0.500 0.771 In
0.500 0.500 0.229 In
0.000 0.000 0.000 Ba

***

Tb2SiS (PBE, optimized geometry); relative energy among the computed polymorphs = 0.1824 eV per atom; SG = R3m, No. 160; theoretical density = 6.52 Mg/m³; ΔE_f (raw) = -1.24 eV per atom
1.0
-1.712 -3.196 1.635
1.343 -3.640 -0.872
4.363 -1.917 5.657
Tb S Si
2 1 1
direct
0.080 0.080 0.759 Tb
0.254 0.254 0.237 Tb
0.498 0.498 0.506 S
0.668 0.668 0.997 Si

***

Zr2MnIr (PBE, optimized geometry); SG = R-3m, No. 166; theoretical density = 10.11 Mg/m³; formation enthalpy at 0 K = -0.0453 eV/atom
1.0
-1.997 8.164 -0.193
-4.768 6.861 -0.936
-3.918 7.140 2.085
Zr Mn Ir
2 1 1
direct
0.495 0.495 0.495 Zr
0.005 0.005 0.005 Zr
0.750 0.750 0.750 Mn
0.250 0.250 0.250 Ir

***

Sm2RhS (PBE, optimized geometry); relative energy among the computed polymorphs = 0.7221 eV per atom; SG = R-3m, No. 166; theoretical density = 7.08 Mg/m³; ΔE_f (raw) = -0.64 eV per atom
1.0
-1.666 2.393 -2.269
1.075 0.257 -3.526
-5.940 -5.193 -4.125
S Sm Rh
1 2 1
direct
0.500 0.500 0.500 S
0.902 0.902 0.295 Sm
0.098 0.098 0.705 Sm
0.000 0.000 0.000 Rh

***

Fe2NiIr (PBE, optimized geometry); SG = R3m, No. 160; theoretical density = 12.02 Mg/m³; formation enthalpy at 0 K = 0.0464 eV/atom
1.0
2.638 0.000 0.000
1.319 2.285 0.000
1.319 0.762 8.312
Fe Ir Ni
2 1 1
direct
0.080 0.080 0.759 Fe
0.253 0.253 0.241 Fe
0.500 0.500 0.500 Ir
0.667 0.667 0.000 Ni

***

ReTc4P (PBE, optimized geometry); SG = F-43m, No. 216; theoretical density = 10.98 Mg/m³; formation enthalpy at 0 K = 0.6943 eV/atom
1.0
0.000 3.585 3.585
3.585 0.000 3.585
3.585 3.585 0.000
Tc Re P
4 1 1
direct
0.376 0.376 0.873 Tc
0.873 0.376 0.376 Tc
0.376 0.873 0.376 Tc
0.376 0.376 0.376 Tc
0.000 0.000 0.000 Re
0.750 0.750 0.750 P

***

Fe4P5 (PBE, optimized geometry); relative energy among the computed polymorphs = 0.2068 eV per atom; SG = I4/mmm, No. 139; theoretical density = 5.54 Mg/m³; formation enthalpy at 0 K = 0.2914 eV/atom
1.0
-4.304 4.304 1.530
4.304 -4.304 1.530
4.304 4.304 -1.530
Fe P
4 5
direct
0.331 0.000 0.331 Fe
0.000 0.669 0.669 Fe
0.669 0.000 0.669 Fe
0.000 0.331 0.331 Fe
0.321 0.679 0.000 P
0.679 0.321 0.000 P
0.321 0.321 0.641 P
0.000 0.000 0.000 P
0.679 0.679 0.359 P